(1)
Compound: YHoTm
Source: Alexandria via LeMat-Bulk
Functional: PBE
Structure: relaxed

Properties
* excess energy over the best structure of this formula in the dataset: 128 meV/atom
* total magnetization: 0.00 μB per formula unit
* energy of formation: 0.154 eV per atom
* VASP energy: -5.02 eV per atom
* symmetry: Pmmn

Unit cell a=3.4670 b=3.4488 c=16.0250 alpha=90.00 beta=90.00 gamma=90.00
Sites, in units of the cell vectors:
Y 0.2500 0.2500 0.0786
Y 0.7500 0.7500 0.9214
Ho 0.2500 0.7500 0.7321
Ho 0.7500 0.2500 0.2679
Tm 0.2500 0.7500 0.4211
Tm 0.7500 0.2500 0.5789



(2)
Compound: DyPa2Al
Source: Alexandria via LeMat-Bulk
Functional: PBE
Structure: relaxed

Properties
* excess energy over the best structure of this formula in the dataset: 230 meV/atom
* total magnetization: 0.00 μB per formula unit
* energy of formation: 0.208 eV per atom
* VASP energy: -6.63 eV per atom
* symmetry: R-3m

Unit cell a=3.1419 b=3.1419 c=11.6189 alpha=82.23 beta=82.23 gamma=60.00
Sites, in units of the cell vectors:
Pa 0.0913 0.0913 0.7261
Pa 0.9087 0.9087 0.2739
Al 0.5000 0.5000 0.5000
Dy 0.0000 0.0000 0.0000



Please write out number 1 again, unchanged.
Compound: YHoTm
Source: Alexandria via LeMat-Bulk
Functional: PBE
Structure: relaxed

Properties
* excess energy over the best structure of this formula in the dataset: 128 meV/atom
* total magnetization: 0.00 μB per formula unit
* energy of formation: 0.154 eV per atom
* VASP energy: -5.02 eV per atom
* symmetry: Pmmn

Unit cell a=3.4670 b=3.4488 c=16.0250 alpha=90.00 beta=90.00 gamma=90.00
Sites, in units of the cell vectors:
Y 0.2500 0.2500 0.0786
Y 0.7500 0.7500 0.9214
Ho 0.2500 0.7500 0.7321
Ho 0.7500 0.2500 0.2679
Tm 0.2500 0.7500 0.4211
Tm 0.7500 0.2500 0.5789



Q: Which value of total magnetization does entry 1 give?
A: 0.00 μB per formula unit